The following is a DFT calculation (PBE-GGA) of TiAu4F2 after structural relaxation.

Output
The value obtained for the formation energy without anion corrections is 180 meV/atom. Its volume is 21.97 A^3/atom. As for the total energy: -3.355 eV per atom. The calculation puts the spin magnetization at 2.6 Bohr magnetons per cell.

abc: 5.076 5.076 11.941
angles: 90.00 90.00 90.00
Space group I4/mmm (No. 139)
Symmetry-distinct sites (fractional):
1 Ti 0.000 0.000 0.000 [2 per cell]
2 Au 0.000 0.000 0.207 [4 per cell]
3 Au 0.000 0.500 0.000 [4 per cell]
4 F 0.000 0.000 0.386 [4 per cell]

---

The following is a DFT calculation (PBE-GGA) of Mg3ScPd4 after structural relaxation.

Output
Its volume is 16.65 A^3/atom. As for the total energy: -4.772 eV per atom. The calculation puts the spin magnetization at 0.0 Bohr magnetons per cell. The calculation puts the formation energy at -786 meV/atom.

abc: 9.148 6.367 4.574
angles: 90.00 90.00 90.00
Space group Pmma (No. 51)
Symmetry-distinct sites (fractional):
1 Mg 0.000 0.000 0.000 [2 per cell]
2 Mg 0.250 0.000 0.498 [2 per cell]
3 Mg 0.250 0.500 0.499 [2 per cell]
4 Sc 0.000 0.500 0.000 [2 per cell]
5 Pd 0.000 0.247 0.500 [4 per cell]
6 Pd 0.250 0.247 0.999 [4 per cell]

---

The following is a DFT calculation (PBE-GGA) of MnSb2Rh after structural relaxation.

Output
The value obtained for the formation energy without anion corrections is 51 meV/atom. Its volume is 18.53 A^3/atom. As for the total energy: -6.140 eV per atom. The calculation puts the spin magnetization at 13.6 Bohr magnetons per cell.

abc: 6.668 6.668 6.668
angles: 90.00 90.00 90.00
Space group Fm-3m (No. 225)
Symmetry-distinct sites (fractional):
1 Mn 0.000 0.000 0.000 [4 per cell]
2 Sb 0.250 0.250 0.250 [8 per cell]
3 Rh 0.000 0.000 0.500 [4 per cell]